Tb4Pb2C after structural relaxation, computed with PBE-GGA.

Cell and atoms, written as CIF:
```
data_Tb4Pb2C
_chemical_formula_sum 'Tb4 Pb2 C1'
_cell_length_a 8.784
_cell_length_b 8.784
_cell_length_c 8.784
_cell_angle_alpha 147.92
_cell_angle_beta 147.92
_cell_angle_gamma 46.00
_symmetry_space_group_name_H-M 'P 1'
_symmetry_Int_Tables_number 1
loop_
_symmetry_equiv_pos_as_xyz
'x,y,z'
loop_
_atom_site_label
_atom_site_type_symbol
_atom_site_fract_x
_atom_site_fract_y
_atom_site_fract_z
_atom_site_occupancy
Tb1 Tb 0.000 0.500 0.500 1
Tb2 Tb 0.158 0.158 0.000 1
Tb3 Tb 0.500 0.000 0.500 1
Tb4 Tb 0.842 0.842 0.000 1
Pb1 Pb 0.358 0.358 0.000 1
Pb2 Pb 0.642 0.642 0.000 1
C1 C 0.000 0.000 0.000 1
```

Output
The calculation puts the total energy at -0.4087 Ry/atom. Its crystal system is tetragonal.